Record 1
Density functional theory data (PBE) for crystalline BaAg6Au6 at its relaxed geometry.

E_form (kJ/mol of formula units): -226
E_tot (eV/atom): -3.157
Crystal system: orthorhombic
Magnetization (μB per formula unit): 0.000

Lattice parameters (Å, degrees): 7.4706 7.4706 7.4706 136.60 98.18 97.54
With the nearest neighbours (Å) after each atom.
Fractional coordinates of all 13 atoms:
Ba  0.0000  0.0000  0.0000  8 Ag 3.49-3.55, 12 Au 3.54-3.74
Ag  0.2282  0.5000  0.7282  6 Au 2.83-3.14, 4 Ag 3.01-3.04
Ag  0.3570  0.0000  0.3570  3 Ag 2.80-3.04, 6 Au 3.01-3.05
Ag  0.3577  0.3577  0.0000  3 Ag 2.80-3.01, 6 Au 3.00-3.06
Ag  0.6423  0.6423  0.0000  3 Ag 2.80-3.01, 6 Au 3.00-3.06
Ag  0.6430  0.0000  0.6430  3 Ag 2.80-3.04, 6 Au 3.01-3.05
Ag  0.7718  0.5000  0.2718  6 Au 2.83-3.14, 4 Ag 3.01-3.04
Au  0.0000  0.0000  0.5000  4 Au 2.76-2.82, 6 Ag 2.83-3.01
Au  0.0000  0.5000  0.0000  4 Au 2.76-2.82, 6 Ag 2.83-3.01
Au  0.2246  0.7246  0.5000  4 Au 2.82, 6 Ag 3.05-3.14
Au  0.5000  0.0000  0.0000  4 Au 2.76-2.82, 6 Ag 2.83-3.01
Au  0.5000  0.5000  0.5000  4 Au 2.76-2.82, 6 Ag 2.83-3.01
Au  0.7754  0.2754  0.5000  4 Au 2.82, 6 Ag 3.05-3.14

=====

Record 2
Density functional theory data (PBE) for crystalline GaAgPd2 at its relaxed geometry.

E_form (kJ/mol of formula units): -148
E_tot (eV/atom): -4.450
Crystal system: tetragonal
Magnetization (μB per formula unit): 0.000

Lattice parameters (Å, degrees): 4.1102 4.1102 3.7185 90.00 90.00 90.00
With the nearest neighbours (Å) after each atom.
Fractional coordinates of all 4 atoms:
Ga  0.0000  0.0000  0.0000  8 Pd 2.77, 4 Ag 2.91
Ag  0.5000  0.5000  0.0000  8 Pd 2.77, 4 Ga 2.91
Pd  0.0000  0.5000  0.5000  4 Ga 2.77, 4 Ag 2.77, 4 Pd 2.91
Pd  0.5000  0.0000  0.5000  4 Ga 2.77, 4 Ag 2.77, 4 Pd 2.91

=====

Record 3
Density functional theory data (PBE) for crystalline Tl2Zn2As at its relaxed geometry.

E_form (kJ/mol of formula units): 151
E_tot (eV/atom): -2.073
Crystal system: tetragonal
Magnetization (μB per formula unit): 0.000

Lattice parameters (Å, degrees): 8.4462 8.4462 3.2921 90.00 90.00 90.00
With the nearest neighbours (Å) after each atom.
Fractional coordinates of all 10 atoms:
Tl  0.1951  0.3049  0.0000  6 Zn 2.88-3.13, 2 As 3.06
Tl  0.3049  0.8049  0.0000  6 Zn 2.88-3.13, 2 As 3.06
Tl  0.6951  0.1951  0.0000  6 Zn 2.88-3.13, 2 As 3.06
Tl  0.8049  0.6951  0.0000  6 Zn 2.88-3.13, 2 As 3.06
Zn  0.1072  0.6072  0.5000  1 Zn 2.56
Zn  0.3928  0.1072  0.5000  1 Zn 2.56
Zn  0.6072  0.8928  0.5000  1 Zn 2.56
Zn  0.8928  0.3928  0.5000  1 Zn 2.56
As  0.0000  0.0000  0.0000  4 Tl 3.06, 2 As 3.29
As  0.5000  0.5000  0.0000  4 Tl 3.06, 2 As 3.29

=====

Record 4
Density functional theory data (PBE) for crystalline Mn2FeCuSb at its relaxed geometry.

E_tot (eV/atom): -5.702
Crystal system: tetragonal
Magnetization (μB per formula unit): 10.454
Energy relative to the elements, uncorrected (eV per atom): 1.302

Lattice parameters (Å, degrees): 4.9467 4.9467 4.7778 90.00 90.00 90.00
With the nearest neighbours (Å) after each atom.
Fractional coordinates of all 5 atoms:
Mn  0.0000  0.5000  0.0000  2 Sb 2.47
Mn  0.5000  0.0000  0.0000  2 Sb 2.47
Fe  0.0000  0.0000  0.5000  2 Sb 2.39
Cu  0.5000  0.5000  0.5000  8 Mn 3.44, 4 Fe 3.50
Sb  0.0000  0.0000  0.0000  2 Fe 2.39, 4 Mn 2.47

=====

Record 5
Density functional theory data (PBE) for crystalline Ba2ZrMo at its relaxed geometry.

E_form (kJ/mol of formula units): 195
E_tot (eV/atom): -5.302
Crystal system: tetragonal
Magnetization (μB per formula unit): 0.345

Lattice parameters (Å, degrees): 3.7292 3.7292 9.9877 90.00 90.00 90.00
With the nearest neighbours (Å) after each atom.
Fractional coordinates of all 4 atoms:
Ba  0.0000  0.0000  0.0000  1 Mo 3.62, 4 Zr 3.72, 4 Ba 3.73
Ba  0.5000  0.5000  0.3939  1 Zr 3.44, 4 Mo 3.59, 4 Ba 3.73
Zr  0.5000  0.5000  0.7379  4 Mo 2.82
Mo  0.0000  0.0000  0.6375  4 Zr 2.82

=====

Record 6
Density functional theory data (PBE) for crystalline CsCaCr2Br8 at its relaxed geometry.

E_tot (eV/atom): -4.056
Crystal system: trigonal
Magnetization (μB per formula unit): 7.000
Energy relative to the elements, uncorrected (eV per atom): -1.099

Lattice parameters (Å, degrees): 10.7438 10.7438 10.7438 38.77 38.77 38.77
With the nearest neighbours (Å) after each atom.
Fractional coordinates of all 12 atoms:
Cs  0.0000  0.0000  0.0000  12 Br 4.00-4.14
Ca  0.5000  0.5000  0.5000  6 Br 2.93
Cr  0.2412  0.2412  0.2412  4 Br 2.36-2.47
Cr  0.7588  0.7588  0.7588  4 Br 2.36-2.47
Br  0.1131  0.4354  0.7788  1 Cr 2.47
Br  0.2212  0.8869  0.5646  1 Cr 2.47
Br  0.3206  0.3206  0.3206  1 Cr 2.36
Br  0.4354  0.7788  0.1131  1 Cr 2.47
Br  0.5646  0.2212  0.8869  1 Cr 2.47
Br  0.6794  0.6794  0.6794  1 Cr 2.36
Br  0.7788  0.1131  0.4354  1 Cr 2.47
Br  0.8869  0.5646  0.2212  1 Cr 2.47

=====

Record 7
Density functional theory data (PBE) for crystalline Cr2Pd2I at its relaxed geometry.

E_tot (eV/atom): -5.577
Crystal system: tetragonal
Magnetization (μB per formula unit): 0.008
Energy relative to the elements, uncorrected (eV per atom): 0.659

Lattice parameters (Å, degrees): 5.9246 5.9246 5.9246 139.11 139.11 59.21
With the nearest neighbours (Å) after each atom.
Fractional coordinates of all 5 atoms:
Cr  0.0887  0.0887  0.0000  1 Cr 1.83
Cr  0.9113  0.9113  0.0000  1 Cr 1.83
Pd  0.2500  0.7500  0.5000  4 Cr 2.65, 4 Pd 2.93
Pd  0.7500  0.2500  0.5000  4 Cr 2.65, 4 Pd 2.93
I  0.5000  0.5000  0.0000  8 Cr 3.07, 8 Pd 3.30

=====

Record 8
Density functional theory data (PBE) for crystalline ScInTe4 at its relaxed geometry.

E_tot (eV/atom): -4.077
Crystal system: monoclinic
Magnetization (μB per formula unit): 0.000
Energy relative to the elements, uncorrected (eV per atom): -0.471

Lattice parameters (Å, degrees): 7.2164 7.2164 7.5755 118.10 118.10 33.43
With the nearest neighbours (Å) after each atom.
Fractional coordinates of all 6 atoms:
Sc  0.0000  0.0000  0.0000  6 Te 2.90-2.99
In  0.5000  0.5000  0.5000  6 Te 2.97-3.05
Te  0.1467  0.1467  0.4503  1 Sc 2.99, 2 In 3.05, 2 Te 3.30
Te  0.3689  0.3689  0.0508  2 Sc 2.90, 1 In 2.97
Te  0.6311  0.6311  0.9492  2 Sc 2.90, 1 In 2.97
Te  0.8533  0.8533  0.5497  1 Sc 2.99, 2 In 3.05, 2 Te 3.30

=====

Record 9
Density functional theory data (PBE) for crystalline Ac2CdIn2Pd5 at its relaxed geometry.

E_form (kJ/mol of formula units): -476
E_tot (eV/atom): -4.551
Crystal system: tetragonal
Magnetization (μB per formula unit): 0.000

Lattice parameters (Å, degrees): 11.0608 11.0608 3.6482 90.00 90.00 90.00
With the nearest neighbours (Å) after each atom.
Fractional coordinates of all 20 atoms:
Ac  0.1733  0.3267  0.0000  3 In 3.12-3.36, 6 Pd 3.27-3.37
Ac  0.3267  0.8267  0.0000  3 In 3.12-3.36, 6 Pd 3.27-3.37
Ac  0.6733  0.1733  0.0000  3 In 3.12-3.36, 6 Pd 3.27-3.37
Ac  0.8267  0.6733  0.0000  3 In 3.12-3.36, 6 Pd 3.27-3.37
Cd  0.0000  0.0000  0.0000  8 Pd 2.89
Cd  0.5000  0.5000  0.0000  8 Pd 2.89
In  0.1274  0.6274  0.0000  6 Pd 2.70-2.81
In  0.3726  0.1274  0.0000  6 Pd 2.70-2.81
In  0.6274  0.8726  0.0000  6 Pd 2.70-2.81
In  0.8726  0.3726  0.0000  6 Pd 2.70-2.81
Pd  0.0000  0.5000  0.5000  4 In 2.70
Pd  0.0478  0.8031  0.5000  2 In 2.81, 2 Cd 2.89
Pd  0.1969  0.0478  0.5000  2 In 2.81, 2 Cd 2.89
Pd  0.3031  0.5478  0.5000  2 In 2.81, 2 Cd 2.89
Pd  0.4522  0.3031  0.5000  2 In 2.81, 2 Cd 2.89
Pd  0.5000  0.0000  0.5000  4 In 2.70
Pd  0.5478  0.6969  0.5000  2 In 2.81, 2 Cd 2.89
Pd  0.6969  0.4522  0.5000  2 In 2.81, 2 Cd 2.89
Pd  0.8031  0.9522  0.5000  2 In 2.81, 2 Cd 2.89
Pd  0.9522  0.1969  0.5000  2 In 2.81, 2 Cd 2.89

=====

Record 10
Density functional theory data (PBE) for crystalline Pr4Y3Er3 at its relaxed geometry.

E_form (kJ/mol of formula units): 94
E_tot (eV/atom): -5.123
Crystal system: orthorhombic
Magnetization (μB per formula unit): 0.000

Lattice parameters (Å, degrees): 3.8338 9.3577 9.3577 90.01 90.00 90.00
With the nearest neighbours (Å) after each atom.
Fractional coordinates of all 10 atoms:
Pr  0.0000  0.0000  0.0000  4 Y 3.29-3.67, 4 Er 3.40, 1 Pr 3.47
Pr  0.0000  0.2625  0.2625  6 Er 3.27-3.41, 1 Pr 3.47, 2 Y 3.65
Pr  0.0000  0.4971  0.7616  4 Er 3.27-3.41, 3 Y 3.43-3.64, 1 Pr 3.50
Pr  0.0000  0.7616  0.4971  4 Er 3.27-3.41, 3 Y 3.43-3.64, 1 Pr 3.50
Y  0.0000  0.1309  0.6301  4 Pr 3.64-3.67, 4 Y 3.83-3.98, 6 Er 3.97-3.98
Y  0.0000  0.6301  0.1309  4 Pr 3.64-3.67, 4 Y 3.83-3.98, 6 Er 3.97-3.98
Y  0.5000  0.7983  0.7983  6 Pr 3.29-3.43
Er  0.5000  0.2983  0.9632  6 Pr 3.27-3.41
Er  0.5000  0.4627  0.4627  6 Pr 3.27-3.41
Er  0.5000  0.9632  0.2983  6 Pr 3.27-3.41